1.
This record from Alexandria describes a relaxed NaGa2Au crystal. The functional is PBE.

Properties
The calculated formation energy is -0.23 eV/f.u. As for the density: 6.0 g/cm³.

```
data_NaGa2Au
_chemical_formula_sum 'Na2 Ga4 Au2'
_cell_length_a 9.719
_cell_length_b 9.719
_cell_length_c 9.719
_cell_angle_alpha 152.16
_cell_angle_beta 152.16
_cell_angle_gamma 39.78
_space_group_name_H-M_alt 'P 1'
_space_group_IT_number 1
loop_
_space_group_symop_operation_xyz
'x,y,z'
loop_
_atom_site_label
_atom_site_type_symbol
_atom_site_fract_x
_atom_site_fract_y
_atom_site_fract_z
Na1 Na 0.000 0.000 0.000
Na2 Na 0.750 0.250 0.500
Ga1 Ga 0.268 0.625 0.143
Ga2 Ga 0.375 0.518 0.643
Ga3 Ga 0.482 0.125 0.857
Ga4 Ga 0.875 0.732 0.357
Au1 Au 0.250 0.750 0.500
Au2 Au 0.500 0.500 0.000
```

***

2.
This record from Alexandria describes a relaxed CePrCd2 crystal. The functional is PBE.

Properties
The calculated formation energy is -0.85 eV/f.u. The calculation puts the polymorph energy (0 for the lowest one) at 0.001 eV/atom. As for the density: 7.3 g/cm³.

```
data_CePrCd2
_chemical_formula_sum 'Ce1 Pr1 Cd2'
_cell_length_a 3.842
_cell_length_b 3.842
_cell_length_c 7.795
_cell_angle_alpha 90.00
_cell_angle_beta 90.00
_cell_angle_gamma 90.00
_space_group_name_H-M_alt 'P 1'
_space_group_IT_number 1
loop_
_space_group_symop_operation_xyz
'x,y,z'
loop_
_atom_site_label
_atom_site_type_symbol
_atom_site_fract_x
_atom_site_fract_y
_atom_site_fract_z
Ce1 Ce 0.000 0.000 0.000
Pr1 Pr 0.000 0.000 0.500
Cd1 Cd 0.500 0.500 0.248
Cd2 Cd 0.500 0.500 0.752
```

***

3.
This record from Alexandria describes a relaxed NaCuI2 crystal. The functional is PBE.

Properties
The calculation puts the polymorph energy (0 for the lowest one) at 0.050 eV/atom. As for the density: 4.4 g/cm³.

```
data_NaCuI2
_chemical_formula_sum 'Na2 Cu2 I4'
_cell_length_a 7.136
_cell_length_b 7.136
_cell_length_c 7.136
_cell_angle_alpha 119.20
_cell_angle_beta 91.06
_cell_angle_gamma 119.58
_space_group_name_H-M_alt 'P 1'
_space_group_IT_number 1
loop_
_space_group_symop_operation_xyz
'x,y,z'
loop_
_atom_site_label
_atom_site_type_symbol
_atom_site_fract_x
_atom_site_fract_y
_atom_site_fract_z
Na1 Na 0.250 0.250 0.000
Na2 Na 0.750 0.750 0.000
Cu1 Cu 0.250 0.750 0.500
Cu2 Cu 0.750 0.250 0.500
I1 I 0.137 0.699 0.835
I2 I 0.363 0.199 0.562
I3 I 0.637 0.801 0.438
I4 I 0.863 0.301 0.165
```

***

4.
This record from Alexandria describes a relaxed SrLiCaTi2 crystal. The functional is PBE.

Properties
The calculated formation energy is 6.65 eV/f.u. As for the density: 2.8 g/cm³.

```
data_SrLiCaTi2
_chemical_formula_sum 'Sr1 Li1 Ca1 Ti2'
_cell_length_a 5.178
_cell_length_b 5.178
_cell_length_c 5.164
_cell_angle_alpha 90.00
_cell_angle_beta 90.00
_cell_angle_gamma 90.00
_space_group_name_H-M_alt 'P 1'
_space_group_IT_number 1
loop_
_space_group_symop_operation_xyz
'x,y,z'
loop_
_atom_site_label
_atom_site_type_symbol
_atom_site_fract_x
_atom_site_fract_y
_atom_site_fract_z
Sr1 Sr 0.000 0.000 0.000
Li1 Li 0.000 0.000 0.500
Ca1 Ca 0.500 0.500 0.500
Ti1 Ti 0.000 0.500 0.000
Ti2 Ti 0.500 0.000 0.000
```

***

5.
This record from Alexandria describes a relaxed NaSrHf2 crystal. The functional is PBE.

Properties
The calculated formation energy is 4.50 eV/f.u. The calculation puts the polymorph energy (0 for the lowest one) at 0.017 eV/atom. As for the density: 6.7 g/cm³.

```
data_NaSrHf2
_chemical_formula_sum 'Na2 Sr2 Hf4'
_cell_length_a 6.950
_cell_length_b 6.950
_cell_length_c 6.950
_cell_angle_alpha 100.28
_cell_angle_beta 100.28
_cell_angle_gamma 130.03
_space_group_name_H-M_alt 'P 1'
_space_group_IT_number 1
loop_
_space_group_symop_operation_xyz
'x,y,z'
loop_
_atom_site_label
_atom_site_type_symbol
_atom_site_fract_x
_atom_site_fract_y
_atom_site_fract_z
Na1 Na 0.000 0.000 0.000
Na2 Na 0.750 0.250 0.500
Sr1 Sr 0.250 0.750 0.500
Sr2 Sr 0.500 0.500 0.000
Hf1 Hf 0.102 0.625 0.977
Hf2 Hf 0.375 0.352 0.477
Hf3 Hf 0.648 0.125 0.023
Hf4 Hf 0.875 0.898 0.523
```

***

6.
This record from Alexandria describes a relaxed PmTmCoOs crystal. The functional is PBE.

Properties
The calculated formation energy is -0.20 eV/f.u. As for the density: 11.8 g/cm³.

```
data_PmTmCoOs
_chemical_formula_sum 'Pm1 Tm1 Co1 Os1'
_cell_length_a 4.821
_cell_length_b 4.821
_cell_length_c 4.821
_cell_angle_alpha 60.00
_cell_angle_beta 60.00
_cell_angle_gamma 60.00
_space_group_name_H-M_alt 'P 1'
_space_group_IT_number 1
loop_
_space_group_symop_operation_xyz
'x,y,z'
loop_
_atom_site_label
_atom_site_type_symbol
_atom_site_fract_x
_atom_site_fract_y
_atom_site_fract_z
Pm1 Pm 0.000 0.000 0.000
Tm1 Tm 0.500 0.500 0.500
Co1 Co 0.750 0.750 0.750
Os1 Os 0.250 0.250 0.250
```